DFT (PBE) results for a relaxed K2La2TcO6 crystal.

abc: 6.141 10.432 6.598
angles: 90.00 104.49 90.00
Space group C2/m (No. 12)
Asymmetric unit:
K (0.000, 0.154, 0.000) (multiplicity 4)
La (0.000, 0.336, 0.500) (multiplicity 4)
Tc (0.000, 0.000, 0.500) (multiplicity 2)
O (0.192, 0.151, 0.670) (multiplicity 8)
O (0.234, 0.000, 0.320) (multiplicity 4)

## Properties
Total magnetic moment: 3.00 μB/f.u.
E_form (uncorrected): -2.28 eV per atom
Calculated total energy: -7.02 eV/atom